Entry from the Open Quantum Materials Database: a relaxed ZnCdSO crystal (PBE).

Geometry as POSCAR:
```
ZnCdSO
1.0
6.124 0.000 0.000
0.000 6.639 0.000
0.000 0.000 7.303
Zn Cd S O
4 4 4 4
Direct
0.082 0.223 0.109
0.418 0.777 0.609
0.582 0.277 0.891
0.918 0.723 0.391
0.029 0.360 0.654
0.471 0.640 0.154
0.529 0.140 0.346
0.971 0.860 0.846
0.134 0.868 0.168
0.366 0.132 0.668
0.634 0.632 0.832
0.866 0.368 0.332
0.111 0.689 0.611
0.389 0.311 0.111
0.611 0.811 0.389
0.889 0.189 0.889
```

Energy above the most stable polymorph in this dataset: 0.022 eV per atom
Total energy: -3.72 eV per atom
Calculated density: 5.1 g/cm3

Entry from the Open Quantum Materials Database: a relaxed KNaNiW crystal (PBE).

Geometry as POSCAR:
```
KNaNiW
1.0
0.000 3.354 3.354
3.354 0.000 3.354
3.354 3.354 0.000
K Na Ni W
1 1 1 1
Direct
0.000 0.000 0.000
0.250 0.250 0.250
0.500 0.500 0.500
0.750 0.750 0.750
```

Energy above the most stable polymorph in this dataset: 0.000 eV per atom
Total energy: -3.65 eV per atom
Calculated density: 6.7 g/cm3

Question: The lowest total energy belongs to which entry?
Answer: ZnCdSO

Question: The lowest calculated density belongs to which entry?
Answer: ZnCdSO

Question: Look up the energy above the most stable polymorph in this dataset of the first one.
Answer: 0.022 eV per atom

Please write out number 2 again, unchanged.
Entry from the Open Quantum Materials Database: a relaxed KNaNiW crystal (PBE).

Geometry as POSCAR:
```
KNaNiW
1.0
0.000 3.354 3.354
3.354 0.000 3.354
3.354 3.354 0.000
K Na Ni W
1 1 1 1
Direct
0.000 0.000 0.000
0.250 0.250 0.250
0.500 0.500 0.500
0.750 0.750 0.750
```

Energy above the most stable polymorph in this dataset: 0.000 eV per atom
Total energy: -3.65 eV per atom
Calculated density: 6.7 g/cm3